This record from the Alexandria database describes a relaxed Cs2DySi2Au7 crystal. The functional is PBE.

Summary:
* raw formation energy: -0.360 eV per atom
* SG: No. 12
* electronic total energy: -3.70 eV per atom

Unit cell a=4.733 b=4.733 c=13.423 alpha=90.55 beta=90.55 gamma=90.27
Atoms (fractional coordinates):
Au 0.982 0.504 0.142
Au 0.506 0.506 0.601
Au 0.018 0.496 0.858
Au 0.500 0.500 0.000
Au 0.504 0.982 0.142
Au 0.496 0.018 0.858
Au 0.494 0.494 0.399
Si 0.477 0.477 0.212
Si 0.523 0.523 0.788
Cs 0.007 0.007 0.640
Cs 0.993 0.993 0.360
Dy 0.000 0.000 0.000